This record from Alexandria describes a relaxed structure of Sb4Te3. The functional is GGA-PBEsol.

Its uncorrected formation energy is 0.1414 eV per atom.

It has space group I4/mmm (No. 139), with a = 3.790 Å, b = 3.790 Å, c = 26.238 Å, α = 90.00°, β = 90.00° and γ = 90.00°. The asymmetric unit holds Sb at (0.000, 0.000, 0.072), Sb at (0.000, 0.000, 0.357), Te at (0.000, 0.000, 0.205) and Te at (0.000, 0.000, 0.500).